[1]
This record from Alexandria via LeMat-Bulk describes a geometry-optimized RbMnBe3 structure. The functional is GGA-PBE.

abc: 4.5970 4.5970 4.5970
angles: 90.00 90.00 90.00
Last column: nearest neighbours and their distance in Å.
Sites, in units of the cell vectors:
Rb1 0.0000 0.0000 0.0000  12 Be 3.25
Mn1 0.5000 0.5000 0.5000  6 Be 2.30
Be1 0.0000 0.5000 0.5000  2 Mn 2.30
Be2 0.5000 0.0000 0.5000  2 Mn 2.30
Be3 0.5000 0.5000 0.0000  2 Mn 2.30

- ΔH_f (0 K) (eV/atom) = 1.097
- final energy (eV per atom) = -3.166
- calculated volume (Å³ per cell) = 97
- magnetization (Bohr magnetons per cell) = 2.95
- symmetry = No. 221



[2]
This record from Alexandria via LeMat-Bulk describes a geometry-optimized RbMnBeS3 structure. The functional is GGA-PBE.

abc: 8.5123 3.4898 9.1210
angles: 90.00 117.44 90.00
Last column: nearest neighbours and their distance in Å.
Sites, in units of the cell vectors:
Rb1 0.2091 0.2500 0.2429  7 S 3.29-3.37, 2 Rb 3.49
Rb2 0.7909 0.7500 0.7571  7 S 3.29-3.37, 2 Rb 3.49
Mn1 0.3681 0.7500 0.8888  5 S 2.14-2.38
Mn2 0.6319 0.2500 0.1112  5 S 2.14-2.38
Be1 0.0911 0.2500 0.6079  4 S 2.05-2.17
Be2 0.9089 0.7500 0.3921  4 S 2.05-2.17
S1 0.1645 0.2500 0.8561  1 Be 2.05
S2 0.1934 0.7500 0.5505  3 Be 2.12-2.17
S3 0.4817 0.7500 0.1531  3 Mn 2.14-2.30
S4 0.5183 0.2500 0.8469  3 Mn 2.14-2.30
S5 0.8066 0.2500 0.4495  3 Be 2.12-2.17
S6 0.8355 0.7500 0.1439  1 Be 2.05

- energy relative to the elements, uncorrected (meV per atom) = -809
- final energy (eV per atom) = -5.183
- calculated volume (Å³ per cell) = 240
- magnetization (Bohr magnetons per cell) = 0.00
- symmetry = No. 11



> What is the formula in the first record?

RbMnBe3